A relaxed BaSrMo2 crystal. Source: the Alexandria database, functional GGA-PBEsol.

Properties
The total moment is 0.0 Bohr magnetons per cell. The offset from the most stable computed form comes out at 0.000 eV per formula unit. Its crystal system is orthorhombic. The calculated formation energy is 0.780 eV per atom.

Lattice parameters (Å, degrees): 3.5140 5.7696 11.0236 90.00 90.00 90.00
Space group Imm2 (No. 44)
Asymmetric unit:
1 Ba 0.0000 0.0000 0.0000
2 Sr 0.0000 0.5000 0.2035
3 Mo 0.0000 0.0000 0.4198
4 Mo 0.0000 0.5000 0.7797

A relaxed SrOs2Br crystal. Source: the Alexandria database, functional GGA-PBEsol.

Properties
The total moment is 0.0 Bohr magnetons per cell. The offset from the most stable computed form comes out at 0.000 eV per formula unit. Its crystal system is monoclinic.

Lattice parameters (Å, degrees): 5.4380 11.2260 3.0500 90.00 123.81 90.00
Space group C2/m (No. 12)
Asymmetric unit:
1 Sr 0.0000 0.0000 0.0000
2 Os 0.2500 0.2500 0.0000
3 Br 0.0000 0.5000 0.0000

Look up the total moment of the first one. 0.0 Bohr magnetons per cell

Copy entry 2 word for word.
A relaxed SrOs2Br crystal. Source: the Alexandria database, functional GGA-PBEsol.

Properties
The total moment is 0.0 Bohr magnetons per cell. The offset from the most stable computed form comes out at 0.000 eV per formula unit. Its crystal system is monoclinic.

Lattice parameters (Å, degrees): 5.4380 11.2260 3.0500 90.00 123.81 90.00
Space group C2/m (No. 12)
Asymmetric unit:
1 Sr 0.0000 0.0000 0.0000
2 Os 0.2500 0.2500 0.0000
3 Br 0.0000 0.5000 0.0000

Look up the offset from the most stable computed form of the first one. 0.000 eV per formula unit

offset from the most stable computed form of number 1 (BaSrMo2)? 0.000 eV per formula unit